A plane-wave DFT calculation with PBE was carried out for a geometry-optimized Cs3PbAu2I6 structure.

Unit cell a=9.3073 b=9.3073 c=9.5197 alpha=90.00 beta=90.00 gamma=120.00
Sites, in units of the cell vectors:
Cs: 0.3333 0.6667 0.6411
Cs: 0.6667 0.3333 0.3589
Cs: 0.0000 0.0000 0.0000
Pb: 0.0000 0.0000 0.5000
Au: 0.6667 0.3333 0.7385
Au: 0.3333 0.6667 0.2615
I: 0.6745 0.8372 0.2957
I: 0.1628 0.3255 0.2957
I: 0.1628 0.8372 0.2957
I: 0.8372 0.6745 0.7043
I: 0.3255 0.1628 0.7043
I: 0.8372 0.1628 0.7043

Magnetic moment: 0.0 μB/f.u.
Raw total energy: -31.177 eV/cell
Calculated volume: 714.17 Å³ per cell